[1]
# PBE SrTa2Te, relaxed
data_SrTa2Te
_symmetry_space_group_name_H-M 'P 4/m m m'
_symmetry_Int_Tables_number 123
_symmetry_space_group_name_Hall '-P 4 2'
_cell_length_a 3.704
_cell_length_b 3.704
_cell_length_c 7.232
_cell_angle_alpha 90.00
_cell_angle_beta 90.00
_cell_angle_gamma 90.00
loop_
_atom_site_label
_atom_site_fract_x
_atom_site_fract_y
_atom_site_fract_z
Sr1 0.000 0.000 0.000
Ta1 0.500 0.500 0.323
Te1 0.000 0.000 0.500
# ΔE to the lowest computed polymorph   0.454 eV per atom
# Formation energy (no corrections)   0.5812 eV per atom
# DOS at the Fermi energy   3.61 states/eV per cell

***

[2]
# PBE Tb2PaPdN4, relaxed
data_Tb2PaPdN4
_symmetry_space_group_name_H-M 'P 1 2/m 1'
_symmetry_Int_Tables_number 10
_cell_length_a 6.018
_cell_length_b 3.433
_cell_length_c 6.162
_cell_angle_alpha 90.00
_cell_angle_beta 114.74
_cell_angle_gamma 90.00
loop_
_symmetry_equiv_pos_as_xyz
'x,y,z'
'-x,-y,-z'
'-x,y,-z'
'x,-y,z'
loop_
_atom_site_label
_atom_site_fract_x
_atom_site_fract_y
_atom_site_fract_z
Tb1 0.000 0.000 0.000
Tb2 0.500 0.500 0.000
Pa1 0.000 0.500 0.500
Pd1 0.500 0.000 0.500
N1 0.210 0.000 0.761
N2 0.246 0.500 0.269
# Formation energy (no corrections)   -1.0929 eV per atom
# DOS at the Fermi energy   3.65 states/eV per cell